# CaBiF3

An optimized crystal structure of CaBiF3 (PBE-GGA, Alexandria).

Summary:
- crystal system = cubic
- DOS(E_F) (states/eV/atom) = 0.62
- space group = Pm-3m (221)
- ΔE_f (raw) (meV/atom) = -2437.4

Geometry as extended XYZ:
```
5
Lattice="-1.376 -4.265 -0.003 3.345 -1.077 -2.782 2.646 -0.857 3.514" Properties=species:S:1:pos:R:3 pbc="T T T"
Bi 2.307 -3.100 0.365
F 1.673 -0.539 -1.391
F -0.688 -2.133 -0.002
Ca 0.000 0.000 0.000
F 1.323 -0.428 1.757
```